Computed, not measured: CuBiMoOs after structural relaxation at the GGA-PBE level of DFT.

Calculated values
- magnetic moment (Bohr magnetons per cell) = 4.28
- electronic total energy (eV per atom) = -6.737
- excess energy over the best structure of this formula in the dataset (meV/atom) = 0

```
data_CuBiMoOs
_cell_length_a 6.508
_cell_length_b 6.508
_cell_length_c 6.508
_cell_angle_alpha 90.00
_cell_angle_beta 90.00
_cell_angle_gamma 90.00
_symmetry_space_group_name_H-M 'F -4 3 m'
_symmetry_Int_Tables_number 216
_symmetry_space_group_name_Hall 'F -4 2 3'
loop_
_atom_site_label
_atom_site_type_symbol
_atom_site_fract_x
_atom_site_fract_y
_atom_site_fract_z
Cu1 Cu 0.000 0.000 0.000
Bi1 Bi 0.250 0.250 0.250
Mo1 Mo 0.250 0.250 0.750
Os1 Os 0.000 0.000 0.500
```